Entry 1:
SrNbFe2Au after structural relaxation. Source: the Alexandria database, functional GGA-PBEsol.

As for the formation energy: 2.199 eV/atom.

The space group is P4/mmm (No. 123) and the conventional cell measures 4.524, 4.524 and 5.191 Å, with angles of 90.00, 90.00 and 90.00 degrees. The distinct sites, in fractional coordinates, are Sr at (0.000, 0.000, 0.000), Nb at (0.500, 0.500, 0.500), Fe at (0.000, 0.500, 0.000) and Au at (0.000, 0.000, 0.500).



Entry 2:
FeNi2Au after structural relaxation. Source: the Alexandria database, functional GGA-PBEsol.

As for the formation energy: 0.032 eV/atom.

The space group is Pmmm (No. 47) and the conventional cell measures 2.685, 3.349 and 5.477 Å, with angles of 90.00, 90.00 and 90.00 degrees. The distinct sites, in fractional coordinates, are Fe at (0.000, 0.000, 0.000), Ni at (0.500, 0.500, 0.222) and Au at (0.000, 0.000, 0.500).



Entry 3:
FeNi6Au after structural relaxation. Source: the Alexandria database, functional GGA-PBEsol.

As for the formation energy: 0.012 eV/atom.

The space group is Cmmm (No. 65) and the conventional cell measures 7.101, 10.080 and 10.118 Å, with angles of 90.00, 90.00 and 90.00 degrees. The distinct sites, in fractional coordinates, are Fe at (0.000, 0.000, 0.247), Fe at (0.000, 0.250, 0.000), Ni at (0.000, 0.000, 0.000), Ni at (0.000, 0.000, 0.500), Ni at (0.000, 0.245, 0.241), Ni at (0.000, 0.500, 0.000), Ni at (0.000, 0.500, 0.500), Ni at (0.241, 0.123, 0.369), Ni at (0.244, 0.127, 0.120), Au at (0.000, 0.253, 0.500) and Au at (0.000, 0.500, 0.248).



Entry 4:
FeNi2Au after structural relaxation. Source: the Alexandria database, functional GGA-PBEsol.

As for the formation energy: 0.027 eV/atom.

The space group is I4/mmm (No. 139) and the conventional cell measures 3.718, 3.718 and 7.114 Å, with angles of 90.00, 90.00 and 90.00 degrees. The distinct sites, in fractional coordinates, are Fe at (0.000, 0.000, 0.000), Ni at (0.000, 0.500, 0.250) and Au at (0.000, 0.000, 0.500).



Entry 5:
FeAuO2 after structural relaxation. Source: the Alexandria database, functional GGA-PBEsol.

As for the formation energy without anion corrections: -0.802 eV/atom.

The space group is R-3m (No. 166, hexagonal axes) and the conventional cell measures 2.8254, 2.8254 and 18.8314 Å, with angles of 90.00, 90.00 and 120.00 degrees. The distinct sites, in fractional coordinates, are Fe at (0.0000, 0.0000, 0.0000), Au at (0.0000, 0.0000, 0.5000) and O at (0.0000, 0.0000, 0.3859).



Entry 6:
FeOs2AuO after structural relaxation. Source: the Alexandria database, functional GGA-PBEsol.

As for the formation energy without anion corrections: 2.256 eV/atom.

The space group is P4/mmm (No. 123) and the conventional cell measures 4.315, 4.315 and 4.706 Å, with angles of 90.00, 90.00 and 90.00 degrees. The distinct sites, in fractional coordinates, are Fe at (0.000, 0.000, 0.000), Os at (0.000, 0.500, 0.000), Au at (0.000, 0.000, 0.500) and O at (0.500, 0.500, 0.500).



no.,V (Å³/atom)
1,21.25
2,12.31
3,11.32
4,12.29
5,10.85
6,17.52